1.
# KPd, optimized geometry, DFT PBE
data_KPd
_chemical_formula_sum 'K8 Pd8'
_cell_length_a 7.003
_cell_length_b 7.399
_cell_length_c 8.542
_cell_angle_alpha 90.00
_cell_angle_beta 90.00
_cell_angle_gamma 90.00
_space_group_name_H-M_alt 'P 21 21 21'
_space_group_IT_number 19
loop_
_space_group_symop_operation_xyz
'x,y,z'
'-x+1/2,-y,z+1/2'
'x+1/2,-y+1/2,-z'
'-x,y+1/2,-z+1/2'
loop_
_atom_site_label
_atom_site_fract_x
_atom_site_fract_y
_atom_site_fract_z
K1 0.049 0.163 0.485
K2 0.171 0.591 0.680
Pd1 0.094 0.065 0.114
Pd2 0.192 0.816 0.343
# - D(E_F) (states/eV per atom) = 0.485
# - theoretical density (g/cm3) = 4.4
# - energy (eV/atom) = -2.99

***

2.
# K3Pd, optimized geometry, DFT PBE
data_K3Pd
_chemical_formula_sum 'K3 Pd1'
_cell_length_a 5.371
_cell_length_b 5.371
_cell_length_c 5.371
_cell_angle_alpha 90.00
_cell_angle_beta 90.00
_cell_angle_gamma 90.00
_space_group_name_H-M_alt 'P m -3 m'
_space_group_IT_number 221
_space_group_name_Hall '-P 4 2 3'
loop_
_atom_site_label
_atom_site_fract_x
_atom_site_fract_y
_atom_site_fract_z
K1 0.000 0.000 0.500
Pd1 0.500 0.500 0.500
# - D(E_F) (states/eV per atom) = 0.477
# - theoretical density (g/cm3) = 2.4
# - energy (eV/atom) = -1.92

***

3.
# K3Pd, optimized geometry, DFT PBE
data_K3Pd
_chemical_formula_sum 'K6 Pd2'
_cell_length_a 4.055
_cell_length_b 5.569
_cell_length_c 17.050
_cell_angle_alpha 90.00
_cell_angle_beta 90.00
_cell_angle_gamma 90.00
_space_group_name_H-M_alt 'I m m m'
_space_group_IT_number 71
_space_group_name_Hall '-I 2 2'
loop_
_atom_site_label
_atom_site_fract_x
_atom_site_fract_y
_atom_site_fract_z
K1 0.000 0.000 0.000
K2 0.000 0.500 0.153
Pd1 0.000 0.000 0.500
# - D(E_F) (states/eV per atom) = 0.671
# - theoretical density (g/cm3) = 1.9
# - energy (eV/atom) = -2.02

***

4.
# KPd, optimized geometry, DFT PBE
data_KPd
_chemical_formula_sum 'K2 Pd2'
_cell_length_a 3.099
_cell_length_b 4.361
_cell_length_c 9.561
_cell_angle_alpha 90.00
_cell_angle_beta 96.56
_cell_angle_gamma 90.00
_space_group_name_H-M_alt 'P 1 21/m 1'
_space_group_IT_number 11
loop_
_space_group_symop_operation_xyz
'x,y,z'
'-x,-y,-z'
'-x,y+1/2,-z'
'x,-y+1/2,z'
loop_
_atom_site_label
_atom_site_fract_x
_atom_site_fract_y
_atom_site_fract_z
K1 0.149 0.250 0.226
Pd1 0.242 0.750 0.476
# - D(E_F) (states/eV per atom) = 0.494
# - theoretical density (g/cm3) = 3.8
# - energy (eV/atom) = -3.04

***

5.
# KPd, optimized geometry, DFT PBE
data_KPd
_chemical_formula_sum 'K4 Pd4'
_cell_length_a 6.370
_cell_length_b 6.370
_cell_length_c 6.370
_cell_angle_alpha 90.00
_cell_angle_beta 90.00
_cell_angle_gamma 90.00
_space_group_name_H-M_alt 'F m -3 m'
_space_group_IT_number 225
_space_group_name_Hall '-F 4 2 3'
loop_
_atom_site_label
_atom_site_fract_x
_atom_site_fract_y
_atom_site_fract_z
K1 0.000 0.000 0.000
Pd1 0.000 0.000 0.500
# - D(E_F) (states/eV per atom) = 0.619
# - theoretical density (g/cm3) = 3.7
# - energy (eV/atom) = -2.56

***

6.
# KPd6, optimized geometry, DFT PBE
data_KPd6
_chemical_formula_sum 'K2 Pd12'
_cell_length_a 7.118
_cell_length_b 7.118
_cell_length_c 7.118
_cell_angle_alpha 90.00
_cell_angle_beta 90.00
_cell_angle_gamma 90.00
_space_group_name_H-M_alt 'I m -3 m'
_space_group_IT_number 229
_space_group_name_Hall '-I 4 2 3'
loop_
_atom_site_label
_atom_site_fract_x
_atom_site_fract_y
_atom_site_fract_z
K1 0.000 0.000 0.000
Pd1 0.000 0.250 0.500
# - D(E_F) (states/eV per atom) = 2.011
# - theoretical density (g/cm3) = 6.2
# - energy (eV/atom) = -4.04

***

7.
# KPd, optimized geometry, DFT PBE
data_KPd
_chemical_formula_sum 'K6 Pd6'
_cell_length_a 8.638
_cell_length_b 8.638
_cell_length_c 8.638
_cell_angle_alpha 90.00
_cell_angle_beta 90.00
_cell_angle_gamma 90.00
_space_group_name_H-M_alt 'P m -3 n'
_space_group_IT_number 223
_space_group_name_Hall '-P 4n 2 3'
loop_
_atom_site_label
_atom_site_fract_x
_atom_site_fract_y
_atom_site_fract_z
K1 0.000 0.250 0.500
Pd1 0.000 0.500 0.250
# - D(E_F) (states/eV per atom) = 0.596
# - theoretical density (g/cm3) = 2.2
# - energy (eV/atom) = -2.33

***

8.
# KPd, optimized geometry, DFT PBE
data_KPd
_chemical_formula_sum 'K6 Pd6'
_cell_length_a 4.883
_cell_length_b 12.824
_cell_length_c 5.101
_cell_angle_alpha 90.00
_cell_angle_beta 90.00
_cell_angle_gamma 90.00
_space_group_name_H-M_alt 'A m m 2'
_space_group_IT_number 38
loop_
_space_group_symop_operation_xyz
'x,y,z'
'-x,-y,z'
'-x,y,z'
'x,-y,z'
'x,y+1/2,z+1/2'
'-x,-y+1/2,z+1/2'
'-x,y+1/2,z+1/2'
'x,-y+1/2,z+1/2'
loop_
_atom_site_label
_atom_site_fract_x
_atom_site_fract_y
_atom_site_fract_z
K1 0.000 0.000 0.000
K2 0.000 0.161 0.546
Pd1 0.500 0.000 0.373
Pd2 0.500 0.191 0.115
# - D(E_F) (states/eV per atom) = 0.356
# - theoretical density (g/cm3) = 4.5
# - energy (eV/atom) = -2.93

***

9.
# KPd2, optimized geometry, DFT PBE
data_KPd2
_chemical_formula_sum 'K2 Pd4'
_cell_length_a 3.560
_cell_length_b 3.560
_cell_length_c 11.399
_cell_angle_alpha 90.00
_cell_angle_beta 90.00
_cell_angle_gamma 90.00
_space_group_name_H-M_alt 'I 4/m m m'
_space_group_IT_number 139
_space_group_name_Hall '-I 4 2'
loop_
_atom_site_label
_atom_site_fract_x
_atom_site_fract_y
_atom_site_fract_z
K1 0.000 0.000 0.000
Pd1 0.000 0.000 0.282
# - D(E_F) (states/eV per atom) = 0.792
# - theoretical density (g/cm3) = 5.8
# - energy (eV/atom) = -3.71

***

10.
# K6Pd, optimized geometry, DFT PBE
data_K6Pd
_chemical_formula_sum 'K12 Pd2'
_cell_length_a 9.336
_cell_length_b 9.336
_cell_length_c 9.336
_cell_angle_alpha 90.00
_cell_angle_beta 90.00
_cell_angle_gamma 90.00
_space_group_name_H-M_alt 'I m -3 m'
_space_group_IT_number 229
_space_group_name_Hall '-I 4 2 3'
loop_
_atom_site_label
_atom_site_fract_x
_atom_site_fract_y
_atom_site_fract_z
K1 0.000 0.250 0.500
Pd1 0.000 0.000 0.000
# - D(E_F) (states/eV per atom) = 0.490
# - theoretical density (g/cm3) = 1.4
# - energy (eV/atom) = -0.81

***

11.
# K3Pd, optimized geometry, DFT PBE
data_K3Pd
_chemical_formula_sum 'K12 Pd4'
_cell_length_a 8.463
_cell_length_b 8.463
_cell_length_c 8.463
_cell_angle_alpha 90.00
_cell_angle_beta 90.00
_cell_angle_gamma 90.00
_space_group_name_H-M_alt 'F m -3 m'
_space_group_IT_number 225
_space_group_name_Hall '-F 4 2 3'
loop_
_atom_site_label
_atom_site_fract_x
_atom_site_fract_y
_atom_site_fract_z
K1 0.000 0.000 0.000
K2 0.250 0.250 0.250
Pd1 0.000 0.000 0.500
# - D(E_F) (states/eV per atom) = 0.817
# - theoretical density (g/cm3) = 2.5
# - energy (eV/atom) = -1.96

***

12.
# KPd, optimized geometry, DFT PBE
data_KPd
_chemical_formula_sum 'K8 Pd8'
_cell_length_a 11.479
_cell_length_b 11.479
_cell_length_c 4.668
_cell_angle_alpha 90.00
_cell_angle_beta 90.00
_cell_angle_gamma 90.00
_space_group_name_H-M_alt 'I 4/m m m'
_space_group_IT_number 139
_space_group_name_Hall '-I 4 2'
loop_
_atom_site_label
_atom_site_fract_x
_atom_site_fract_y
_atom_site_fract_z
K1 0.000 0.257 0.000
Pd1 0.218 0.218 0.500
# - D(E_F) (states/eV per atom) = 0.496
# - theoretical density (g/cm3) = 3.1
# - energy (eV/atom) = -3.00